VASP calculation (GGA-PBE) on crystalline PmSiAg2Se4 at its relaxed geometry.

Cell lengths 7.718, 8.323, 11.548 Å; angles 90.00, 90.00, 90.00 degrees
Space group Imma (No. 74)
One atom of each set of equivalent atoms:
Pm 0.000 0.000 0.000 (multiplicity 4)
Si 0.250 0.250 0.250 (multiplicity 4)
Ag 0.000 0.000 0.500 (multiplicity 4)
Ag 0.250 0.250 0.750 (multiplicity 4)
Se 0.000 0.025 0.253 (multiplicity 8)
Se 0.241 0.250 0.480 (multiplicity 8)

## Properties
D(E_F) (states/eV per atom): 0.25
M_tot (μB per formula unit): 0.0
Energy relative to the elements, uncorrected (meV/atom): -572

=====

VASP calculation (GGA-PBE) on crystalline LaTl2Si2 at its relaxed geometry.

Cell lengths 4.438, 4.438, 13.222 Å; angles 90.00, 90.00, 90.00 degrees
Space group I4/mmm (No. 139)
One atom of each set of equivalent atoms:
La 0.000 0.000 0.000 (multiplicity 2)
Tl 0.000 0.500 0.250 (multiplicity 4)
Si 0.000 0.000 0.415 (multiplicity 4)

## Properties
D(E_F) (states/eV per atom): 0.59
M_tot (μB per formula unit): 0.0
Energy relative to the elements, uncorrected (meV/atom): -58
Energy above the most stable polymorph in this dataset (meV per atom): 0

=====

VASP calculation (GGA-PBE) on crystalline MgAgHgPd at its relaxed geometry.

Cell lengths 6.614, 6.614, 6.614 Å; angles 90.00, 90.00, 90.00 degrees
Space group F-43m (No. 216)
One atom of each set of equivalent atoms:
Mg 0.000 0.000 0.000 (multiplicity 4)
Ag 0.250 0.250 0.250 (multiplicity 4)
Hg 0.000 0.000 0.500 (multiplicity 4)
Pd 0.250 0.250 0.750 (multiplicity 4)

## Properties
D(E_F) (states/eV per atom): 0.44
M_tot (μB per formula unit): 0.0
Calculated formation energy (eV/atom): -0.29

=====

VASP calculation (GGA-PBE) on crystalline TiMnPb at its relaxed geometry.

Cell lengths 3.149, 5.069, 7.309 Å; angles 75.59, 89.00, 77.60 degrees
Space group P-1 (No. 2)
One atom of each set of equivalent atoms:
Ti 0.112 0.336 0.189 (multiplicity 2)
Mn 0.335 0.782 0.033 (multiplicity 2)
Pb 0.226 0.192 0.648 (multiplicity 2)

## Properties
D(E_F) (states/eV per atom): 0.65
M_tot (μB per formula unit): 0.0
Calculated formation energy (eV/atom): 0.16

=====

VASP calculation (GGA-PBE) on crystalline YAl2Ir at its relaxed geometry.

Cell lengths 15.165, 7.086, 5.657 Å; angles 90.00, 90.00, 90.00 degrees
Space group Pnma (No. 62)
One atom of each set of equivalent atoms:
Y 0.100 0.250 0.242 (multiplicity 4)
Y 0.138 0.750 0.466 (multiplicity 4)
Al 0.043 0.059 0.757 (multiplicity 8)
Al 0.211 0.552 0.944 (multiplicity 8)
Ir 0.071 0.750 0.990 (multiplicity 4)
Ir 0.189 0.250 0.710 (multiplicity 4)

## Properties
D(E_F) (states/eV per atom): 0.56
M_tot (μB per formula unit): 0.0
Calculated formation energy (eV/atom): -0.85

=====

VASP calculation (GGA-PBE) on crystalline SrTbF at its relaxed geometry.

Cell lengths 6.734, 3.884, 13.380 Å; angles 90.00, 99.75, 90.00 degrees
Space group Cm (No. 8)
One atom of each set of equivalent atoms:
Sr 0.000 0.000 0.000 (multiplicity 2)
Sr 0.239 0.000 0.720 (multiplicity 2)
Tb 0.319 0.500 0.463 (multiplicity 2)
Tb 0.417 0.000 0.257 (multiplicity 2)
F 0.308 0.000 0.925 (multiplicity 2)
F 0.431 0.500 0.795 (multiplicity 2)

## Properties
D(E_F) (states/eV per atom): 0.80
M_tot (μB per formula unit): 0.2
Energy relative to the elements, uncorrected (meV/atom): -1777

=====

VASP calculation (GGA-PBE) on crystalline CsIn2ReH at its relaxed geometry.

Cell lengths 6.646, 6.646, 5.274 Å; angles 90.00, 90.00, 90.00 degrees
Space group P4/mmm (No. 123)
One atom of each set of equivalent atoms:
Cs 0.000 0.000 0.000 (multiplicity 1)
In 0.000 0.500 0.000 (multiplicity 2)
Re 0.000 0.000 0.500 (multiplicity 1)
H 0.500 0.500 0.500 (multiplicity 1)

## Properties
D(E_F) (states/eV per atom): 0.66
M_tot (μB per formula unit): 2.2
Final energy (eV per cell): -9.81

=====

VASP calculation (GGA-PBE) on crystalline Tm15ThSc4 at its relaxed geometry.

Cell lengths 4.881, 4.881, 24.364 Å; angles 90.00, 90.00, 90.00 degrees
Space group P4/mmm (No. 123)
One atom of each set of equivalent atoms:
Tm 0.000 0.000 0.000 (multiplicity 1)
Tm 0.000 0.000 0.204 (multiplicity 2)
Tm 0.000 0.000 0.401 (multiplicity 2)
Tm 0.000 0.500 0.103 (multiplicity 4)
Tm 0.000 0.500 0.301 (multiplicity 4)
Tm 0.000 0.500 0.500 (multiplicity 2)
Th 0.500 0.500 0.000 (multiplicity 1)
Sc 0.500 0.500 0.202 (multiplicity 2)
Sc 0.500 0.500 0.401 (multiplicity 2)

## Properties
D(E_F) (states/eV per atom): 1.68
M_tot (μB per formula unit): 0.0
Calculated formation energy (eV/atom): 0.05

=====

VASP calculation (GGA-PBE) on crystalline Ac2Cd3Ag6 at its relaxed geometry.

Cell lengths 8.0817, 8.0817, 4.8061 Å; angles 90.00, 90.00, 120.00 degrees
Space group P-62m (No. 189)
One atom of each set of equivalent atoms:
Ac 0.3333 0.6667 0.0000 (multiplicity 2)
Cd 0.0000 0.5955 0.5000 (multiplicity 3)
Ag 0.0000 0.2428 0.5000 (multiplicity 3)
Ag 0.0000 0.7962 0.0000 (multiplicity 3)

## Properties
D(E_F) (states/eV per atom): 0.70
M_tot (μB per formula unit): 0.0
Calculated formation energy (eV/atom): -0.14
Energy above the most stable polymorph in this dataset (meV per atom): 0

=====

VASP calculation (GGA-PBE) on crystalline Er2Tm6MgSc3 at its relaxed geometry.

Cell lengths 5.930, 10.271, 11.273 Å; angles 90.00, 100.15, 90.00 degrees
Space group C2/m (No. 12)
One atom of each set of equivalent atoms:
Er 0.000 0.167 0.000 (multiplicity 4)
Tm 0.248 0.167 0.743 (multiplicity 8)
Tm 0.249 0.500 0.743 (multiplicity 4)
Mg 0.000 0.500 0.000 (multiplicity 2)
Sc 0.000 0.000 0.500 (multiplicity 2)
Sc 0.000 0.334 0.500 (multiplicity 4)

## Properties
D(E_F) (states/eV per atom): 1.51
M_tot (μB per formula unit): 0.0
Calculated formation energy (eV/atom): 0.05

=====

VASP calculation (GGA-PBE) on crystalline Ti3Al at its relaxed geometry.

Cell lengths 5.7429, 5.7429, 4.6512 Å; angles 90.00, 90.00, 120.00 degrees
Space group P6_3/mmc (No. 194)
One atom of each set of equivalent atoms:
Ti 0.1699 0.3399 0.2500 (multiplicity 6)
Al 0.3333 0.6667 0.7500 (multiplicity 2)

## Properties
D(E_F) (states/eV per atom): 0.79
M_tot (μB per formula unit): 0.0
Calculated formation energy (eV/atom): -0.28

=====

VASP calculation (GGA-PBE) on crystalline Pm2TaAlN5 at its relaxed geometry.

Cell lengths 3.288, 13.707, 10.199 Å; angles 90.00, 90.00, 90.00 degrees
Space group Cmc2_1 (No. 36)
One atom of each set of equivalent atoms:
Pm 0.000 0.113 0.000 (multiplicity 4)
Pm 0.000 0.129 0.589 (multiplicity 4)
Ta 0.000 0.219 0.302 (multiplicity 4)
Al 0.000 0.487 0.772 (multiplicity 4)
N 0.000 0.057 0.337 (multiplicity 4)
N 0.000 0.287 0.941 (multiplicity 4)
N 0.000 0.301 0.673 (multiplicity 4)
N 0.000 0.366 0.301 (multiplicity 4)
N 0.000 0.499 0.586 (multiplicity 4)

## Properties
D(E_F) (states/eV per atom): 0.60
M_tot (μB per formula unit): 0.3
Energy relative to the elements, uncorrected (meV/atom): -1132